Record 1
Material: ZrIn2Ni
Method: DFT, PBE
State: optimized geometry

a = 4.251 Å, b = 4.251 Å, c = 8.682 Å
α = 90.00°, β = 90.00°, γ = 90.00°
Fractional coordinates of all 8 atoms:
Zr: 0.000 0.000 0.000
Zr: 0.500 0.500 0.500
In: 0.000 0.000 0.500
In: 0.000 0.500 0.750
In: 0.500 0.000 0.250
In: 0.500 0.500 0.000
Ni: 0.000 0.500 0.250
Ni: 0.500 0.000 0.750

Summary:
- Electronic total energy: -40.2 eV per cell
- Fermi-level density of states: 2.41 states/eV/f.u.
- V: 78.4 Å³/f.u.
- SG: I-4m2 (119)

Record 2
Material: ZrIn2Ni
Method: DFT, PBE
State: optimized geometry

a = 4.248 Å, b = 4.248 Å, c = 4.279 Å
α = 90.00°, β = 90.00°, γ = 90.00°
Fractional coordinates of all 4 atoms:
Zr: 0.000 0.000 0.000
In: 0.000 0.500 0.500
In: 0.500 0.000 0.500
Ni: 0.500 0.500 0.000

Summary:
- Electronic total energy: -20.5 eV per cell
- Fermi-level density of states: 1.69 states/eV/f.u.
- V: 77.2 Å³/f.u.
- SG: P4/mmm (123)

Record 3
Material: Zr3InNi
Method: DFT, PBE
State: optimized geometry

a = 4.874 Å, b = 4.874 Å, c = 4.874 Å
α = 90.00°, β = 90.00°, γ = 90.00°
Fractional coordinates of all 5 atoms:
Zr: 0.000 0.000 0.500
Zr: 0.000 0.500 0.000
Zr: 0.500 0.000 0.000
In: 0.500 0.500 0.500
Ni: 0.000 0.000 0.000

Summary:
- Electronic total energy: -34.1 eV per cell
- Fermi-level density of states: 4.15 states/eV/f.u.
- V: 115.8 Å³/f.u.
- SG: Pm-3m (221)